First-principles (PBE-GGA) data for an optimized crystal structure of ScFe2Rh, as listed in Alexandria via LeMat-Bulk.

Geometry as POSCAR:
```
ScFe2Rh
1.0
8.7807 -0.0123 -0.0072
8.3333 2.7672 -0.0072
8.3333 1.3414 2.4203
Fe Rh Sc
2 1 1
Direct
0.9960 0.9960 0.9960
0.5040 0.5040 0.5040
0.2500 0.2500 0.2500
0.7500 0.7500 0.7500
```

Values from the calculation:
The value obtained for the formation energy is 21 kJ/mol of atoms. The space group is R-3m, No. 166. As for the total energy: -7.44 eV per atom. For the density of states at the Fermi level, the calculation gives 1.41 states/eV per atom. The total magnetization comes out at 1.319 μB per atom. As for the crystal system: trigonal.

***

First-principles (PBE-GGA) data for an optimized crystal structure of La2Dy6Ho3Er, as listed in Alexandria via LeMat-Bulk.

Geometry as POSCAR:
```
La2Dy6Ho3Er
1.0
6.1848 -0.0004 0.0115
-3.0912 5.3568 0.0115
-1.0504 -1.8187 11.6388
La Dy Ho Er
2 6 3 1
Direct
0.3335 0.6665 0.0000
0.6665 0.3335 0.0000
0.9148 0.5830 0.7456
0.7534 0.7534 0.2546
0.0852 0.4170 0.2544
0.5830 0.9148 0.7456
0.2466 0.2466 0.7454
0.4170 0.0852 0.2544
0.1663 0.8337 0.5000
0.8337 0.1663 0.5000
0.5000 0.5000 0.5000
0.0000 0.0000 0.0000
```

Values from the calculation:
The value obtained for the formation energy is 2 kJ/mol of atoms. The space group is C2/m, No. 12. As for the total energy: -4.62 eV per atom. For the density of states at the Fermi level, the calculation gives 1.35 states/eV per atom. The total magnetization comes out at 0.000 μB per atom. As for the crystal system: monoclinic.

***

First-principles (PBE-GGA) data for an optimized crystal structure of Sr4NiTe, as listed in Alexandria via LeMat-Bulk.

Geometry as POSCAR:
```
Sr4NiTe
1.0
0.0000 4.9427 4.9427
4.9427 0.0000 4.9427
4.9427 4.9427 0.0000
Sr Ni Te
4 1 1
Direct
0.8750 0.3750 0.3750
0.3750 0.3750 0.8750
0.3750 0.8750 0.3750
0.3750 0.3750 0.3750
0.0000 0.0000 0.0000
0.7500 0.7500 0.7500
```

Values from the calculation:
As for the formation energy (no corrections): 462 meV/atom. The space group is F-43m, No. 216. As for the total energy: -2.15 eV per atom. For the density of states at the Fermi level, the calculation gives 1.04 states/eV per atom. The total magnetization comes out at 0.053 μB per atom. As for the crystal system: cubic.

***

First-principles (PBE-GGA) data for an optimized crystal structure of K2Y2UO6, as listed in Alexandria via LeMat-Bulk.

Geometry as POSCAR:
```
K2Y2UO6
1.0
-1.3498 5.7586 1.3220
-4.4230 -4.0241 -0.9872
1.8552 -2.0222 6.0980
K Y U O
2 2 1 6
Direct
0.8305 0.1695 0.0000
0.1695 0.8305 0.0000
0.3336 0.6664 0.5000
0.6664 0.3336 0.5000
0.0000 0.0000 0.5000
0.7412 0.7412 0.6715
0.0495 0.3858 0.6750
0.2588 0.2588 0.3285
0.3858 0.0495 0.6750
0.9505 0.6142 0.3250
0.6142 0.9505 0.3250
```

Values from the calculation:
As for the formation energy (no corrections): -2851 meV/atom. The space group is C2/m, No. 12. As for the total energy: -7.96 eV per atom. For the density of states at the Fermi level, the calculation gives 0.34 states/eV per atom. The total magnetization comes out at 0.182 μB per atom. As for the crystal system: monoclinic.

***

First-principles (PBE-GGA) data for an optimized crystal structure of Mn2Ru2Rh15, as listed in Alexandria via LeMat-Bulk.

Geometry as POSCAR:
```
Mn2Ru2Rh15
1.0
6.6066 -0.1862 1.3334
1.0545 6.5245 1.3334
-0.2251 -0.1862 6.7360
Mn Ru Rh
2 2 15
Direct
0.9047 0.9047 0.9047
0.0953 0.0953 0.0953
0.7217 0.7217 0.7217
0.2783 0.2783 0.2783
0.0000 0.5000 0.0000
0.0000 0.0000 0.5000
0.5000 0.0000 0.0000
0.3145 0.0000 0.6855
0.6855 0.3145 0.0000
0.0000 0.6855 0.3145
0.3145 0.6855 0.0000
0.0000 0.3145 0.6855
0.6855 0.0000 0.3145
0.3480 0.8431 0.3480
0.3480 0.3480 0.8431
0.8431 0.3480 0.3480
0.6520 0.1569 0.6520
0.6520 0.6520 0.1569
0.1569 0.6520 0.6520
```

Values from the calculation:
The value obtained for the formation energy is 37 kJ/mol of atoms. The space group is R-3m, No. 166. As for the total energy: -7.36 eV per atom. For the density of states at the Fermi level, the calculation gives 1.64 states/eV per atom. The total magnetization comes out at 0.340 μB per atom. As for the crystal system: trigonal.

***

First-principles (PBE-GGA) data for an optimized crystal structure of SrCu3Te, as listed in Alexandria via LeMat-Bulk.

Geometry as POSCAR:
```
SrCu3Te
1.0
-3.7416 3.3814 1.3825
-1.2979 -3.0803 4.0215
3.4148 2.5343 3.0433
Sr Te Cu
1 1 3
Direct
0.0000 0.0000 0.0000
0.5000 0.5000 0.5000
0.0000 0.5000 0.0000
0.0000 0.0000 0.5000
0.5000 0.0000 0.0000
```

Values from the calculation:
As for the formation energy (no corrections): 1248 meV/atom. The space group is Pm-3m, No. 221. As for the total energy: -2.17 eV per atom. As for the polymorph energy (0 for the lowest one): 0.949 eV per atom. For the density of states at the Fermi level, the calculation gives 0.75 states/eV per atom. The total magnetization comes out at 0.000 μB per atom. As for the crystal system: cubic.

***

First-principles (PBE-GGA) data for an optimized crystal structure of LiMg3U3N8, as listed in Alexandria via LeMat-Bulk.

Geometry as POSCAR:
```
LiMg3U3N8
1.0
-0.8023 -6.4138 1.8627
6.0255 2.1806 -2.0459
-2.5893 1.9120 5.4732
Li Mg U N
1 3 3 8
Direct
0.0000 0.0000 0.5000
0.0000 0.0000 0.0000
0.0000 0.5000 0.0000
0.5000 0.5000 0.0000
0.5000 0.0000 0.5000
0.5000 0.5000 0.5000
0.0000 0.5000 0.5000
0.2465 0.4929 0.2394
0.7535 0.5071 0.7606
0.7557 0.5113 0.2894
0.2443 0.4887 0.7106
0.7556 0.0336 0.2893
0.2444 0.9664 0.7107
0.2781 0.0337 0.2893
0.7219 0.9663 0.7107
```

Values from the calculation:
As for the formation energy (no corrections): -890 meV/atom. The space group is R-3m, No. 166. As for the total energy: -8.03 eV per atom. For the density of states at the Fermi level, the calculation gives 0.38 states/eV per atom. The total magnetization comes out at 0.075 μB per atom. As for the crystal system: trigonal.

***

First-principles (PBE-GGA) data for an optimized crystal structure of ScMnZn2Ge, as listed in Alexandria via LeMat-Bulk.

Geometry as POSCAR:
```
ScMnZn2Ge
1.0
4.6811 0.0000 0.0000
0.0000 5.1061 0.0000
0.0000 0.0000 4.6811
Sc Ge Mn Zn
1 1 1 2
Direct
0.0000 0.5000 0.0000
0.0000 0.0000 0.0000
0.5000 0.5000 0.5000
0.0000 0.0000 0.5000
0.5000 0.0000 0.0000
```

Values from the calculation:
The value obtained for the formation energy is 49 kJ/mol of atoms. The space group is P4/mmm, No. 123. As for the total energy: -4.02 eV per atom. As for the polymorph energy (0 for the lowest one): 0.386 eV per atom. For the density of states at the Fermi level, the calculation gives 0.83 states/eV per atom. The total magnetization comes out at 0.887 μB per atom. As for the crystal system: tetragonal.

***

Q: Among the records above, which one has the lowest density of states at the Fermi level?
A: K2Y2UO6

***

Q: What is the formula in the third record?
A: Sr4NiTe

***

Q: Among the records above, which one has the highest density of states at the Fermi level?
A: Mn2Ru2Rh15